1.
This record from the Alexandria database describes ZrSnRh2 after structural relaxation. The functional is PBE-GGA.

Cell lengths 7.1961, 7.1961, 5.9006 Å; angles 52.43, 52.43, 90.00 degrees
Atoms (fractional coordinates):
Zr (0.5000, 0.5000, 0.0000)
Zr (0.2500, 0.7500, 0.5000)
Rh (0.3750, 0.3835, 0.7500)
Rh (0.8750, 0.8665, 0.7500)
Rh (0.1335, 0.6250, 0.2500)
Rh (0.6165, 0.1250, 0.2500)
Sn (0.0000, 0.0000, 0.0000)
Sn (0.7500, 0.2500, 0.5000)

The space group is No. 122. The spin magnetization is 0.00 μB/f.u. The value obtained for the total energy is -7.06 eV per atom.

---

2.
This record from the Alexandria database describes BeCuSe2 after structural relaxation. The functional is PBE-GGA.

Cell lengths 3.3390, 3.3853, 7.0657 Å; angles 90.00, 90.00, 90.00 degrees
Atoms (fractional coordinates):
Se (0.0000, 0.0000, 0.8432)
Se (0.5000, 0.5000, 0.3952)
Cu (0.5000, 0.5000, 0.7415)
Be (0.0000, 0.0000, 0.5202)

The space group is No. 25. The spin magnetization is 0.00 μB/f.u. The formation energy from raw total energies comes out at -0.144 eV per atom.

---

3.
This record from the Alexandria database describes Pt2Rh7 after structural relaxation. The functional is PBE-GGA.

Cell lengths 4.7336, 4.7336, 6.7227 Å; angles 90.00, 90.00, 120.00 degrees
Atoms (fractional coordinates):
Rh (0.3319, 0.0000, 0.6626)
Rh (0.6681, 0.6681, 0.6626)
Rh (0.3319, 0.3319, 0.3374)
Rh (0.0000, 0.3319, 0.6626)
Rh (0.6681, 0.0000, 0.3374)
Rh (0.0000, 0.0000, 0.0000)
Rh (0.0000, 0.6681, 0.3374)
Pt (0.6667, 0.3333, 0.0000)
Pt (0.3333, 0.6667, 0.0000)

The space group is No. 162. The spin magnetization is 0.00 μB/f.u. The value obtained for the total energy is -7.07 eV per atom.

---

4.
This record from the Alexandria database describes ErPu2ThAs4 after structural relaxation. The functional is PBE-GGA.

Cell lengths 4.1759, 7.2112, 7.1979 Å; angles 109.71, 90.00, 90.00 degrees
Each line ends with the local moment (μB).
Atoms (fractional coordinates):
As (0.5000, 0.2463, 0.2506)  0.03
As (0.5000, 0.7537, 0.7494)  0.03
As (0.0000, 0.7579, 0.2538)  -0.03
As (0.0000, 0.2421, 0.7462)  -0.03
Pu (0.0000, 0.5000, 0.5000)  -5.12
Pu (0.5000, 0.0000, 0.5000)  5.08
Th (0.5000, 0.5000, 0.0000)  0.00
Er (0.0000, 0.0000, 0.0000)  0.03

The space group is No. 10. The spin magnetization is 0.01 μB/f.u. The value obtained for the total energy is -8.64 eV per atom.

---

5.
This record from the Alexandria database describes CdAg4Au6 after structural relaxation. The functional is PBE-GGA.

Cell lengths 6.5139, 6.5139, 7.2168 Å; angles 116.83, 116.83, 90.00 degrees
Atoms (fractional coordinates):
Ag (0.7315, 0.0468, 0.7782)
Ag (0.9532, 0.9532, 0.2218)
Ag (0.0468, 0.7315, 0.7782)
Ag (0.2685, 0.2685, 0.2218)
Au (0.5000, 0.0000, 0.0000)
Au (0.4120, 0.8962, 0.3083)
Au (0.5880, 0.5880, 0.6917)
Au (0.0000, 0.5000, 0.0000)
Au (0.1038, 0.1038, 0.6917)
Au (0.8962, 0.4120, 0.3083)
Cd (0.5000, 0.5000, 0.0000)

The space group is No. 121. The spin magnetization is 0.00 μB/f.u. The value obtained for the total energy is -2.73 eV per atom.

---

6.
This record from the Alexandria database describes TlFe2Cl8 after structural relaxation. The functional is PBE-GGA.

Cell lengths 6.6321, 7.9083, 7.9083 Å; angles 68.39, 82.51, 82.51 degrees
Each line ends with the local moment (μB).
Atoms (fractional coordinates):
Cl (0.7638, 0.6406, 0.6406)  0.25
Cl (0.2362, 0.3594, 0.3594)  0.25
Cl (0.7734, 0.6941, 0.0787)  0.12
Cl (0.3143, 0.8247, 0.8247)  0.10
Cl (0.2266, 0.3059, 0.9213)  0.12
Cl (0.7734, 0.0787, 0.6941)  0.12
Cl (0.2266, 0.9213, 0.3059)  0.12
Cl (0.6857, 0.1753, 0.1753)  0.10
Tl (0.0000, 0.0000, 0.0000)  -0.16
Fe (0.6533, 0.8039, 0.8039)  3.65
Fe (0.3467, 0.1961, 0.1961)  3.65

The space group is No. 12. The spin magnetization is 9.11 μB/f.u. The formation energy from raw total energies comes out at -0.763 eV per atom.

---

7.
This record from the Alexandria database describes NaUCr4S8 after structural relaxation. The functional is PBE-GGA.

Cell lengths 7.2988, 7.2988, 7.4712 Å; angles 60.76, 60.76, 60.00 degrees
Each line ends with the local moment (μB).
Atoms (fractional coordinates):
S (0.2505, 0.7900, 0.7089)  -0.09
S (0.2294, 0.2294, 0.3117)  -0.09
S (0.7451, 0.7451, 0.2796)  -0.12
S (0.2505, 0.2505, 0.7089)  -0.09
S (0.2302, 0.7451, 0.2796)  -0.12
S (0.7451, 0.2302, 0.2796)  -0.12
S (0.7630, 0.7630, 0.7110)  -0.10
S (0.7900, 0.2505, 0.7089)  -0.09
Cr (0.4966, 0.0013, 0.5008)  2.97
Cr (0.0013, 0.0013, 0.5008)  2.97
Cr (0.0013, 0.4966, 0.5008)  2.97
Cr (0.6312, 0.6312, 0.1063)  3.65
Na (0.3656, 0.3656, 0.9033)  0.00
U (0.0001, 0.0001, 0.9996)  1.92

The space group is No. 160. The spin magnetization is 15.00 μB/f.u. The formation energy from raw total energies comes out at -0.845 eV per atom.

---

8.
This record from the Alexandria database describes Ca2PtO after structural relaxation. The functional is PBE-GGA.

Cell lengths 3.6239, 3.6239, 6.9683 Å; angles 74.93, 74.93, 60.00 degrees
Atoms (fractional coordinates):
Ca (0.2649, 0.2649, 0.2052)
Ca (0.7351, 0.7351, 0.7948)
O (0.0000, 0.0000, 0.0000)
Pt (0.5000, 0.5000, 0.5000)

The space group is No. 166. The spin magnetization is 0.00 μB/f.u. The formation energy from raw total energies comes out at -1.669 eV per atom.

---

9.
This record from the Alexandria database describes TbNd2Pt after structural relaxation. The functional is PBE-GGA.

Cell lengths 3.8883, 6.3429, 10.0172 Å; angles 90.00, 90.00, 107.85 degrees
Atoms (fractional coordinates):
Nd (0.1368, 0.2740, 0.0633)
Nd (0.1368, 0.2740, 0.4367)
Nd (0.8632, 0.7260, 0.5633)
Nd (0.8632, 0.7260, 0.9367)
Pt (0.7377, 0.4754, 0.2500)
Pt (0.2623, 0.5246, 0.7500)
Tb (0.5808, 0.1620, 0.7500)
Tb (0.4192, 0.8380, 0.2500)

The space group is No. 63. The spin magnetization is 0.00 μB/f.u. As for the energy above the most stable polymorph in this dataset: 35 meV/atom.

---

10.
This record from the Alexandria database describes DyBrCl2 after structural relaxation. The functional is PBE-GGA.

Cell lengths 3.8485, 7.3984, 8.6339 Å; angles 90.00, 90.00, 105.04 degrees
Atoms (fractional coordinates):
Br (0.9030, 0.8066, 0.2500)
Br (0.0970, 0.1934, 0.7500)
Cl (0.3315, 0.6637, 0.5714)
Cl (0.3315, 0.6637, 0.9286)
Cl (0.6685, 0.3363, 0.0714)
Cl (0.6685, 0.3363, 0.4286)
Dy (0.2597, 0.5191, 0.2500)
Dy (0.7403, 0.4809, 0.7500)

The space group is No. 63. The spin magnetization is 0.00 μB/f.u. The formation energy from raw total energies comes out at -2.107 eV per atom. As for the energy above the most stable polymorph in this dataset: 24 meV/atom.

---

11.
This record from the Alexandria database describes Zr4OsRh after structural relaxation. The functional is PBE-GGA.

Cell lengths 3.3182, 3.3182, 10.5661 Å; angles 90.00, 90.00, 90.00 degrees
Atoms (fractional coordinates):
Zr (0.0000, 0.0000, 0.3462)
Zr (0.4999, 0.4999, 0.8455)
Zr (0.5001, 0.5001, 0.1545)
Zr (0.0000, 0.0000, 0.6538)
Rh (0.0000, 0.0000, 0.0000)
Os (0.5000, 0.5000, 0.5000)

The space group is No. 123. The spin magnetization is 0.00 μB/f.u. As for the energy above the most stable polymorph in this dataset: 0 meV/atom.

---

12.
This record from the Alexandria database describes CdRh4Br after structural relaxation. The functional is PBE-GGA.

Cell lengths 5.2817, 5.2817, 5.2817 Å; angles 60.00, 60.00, 60.00 degrees
Each line ends with the local moment (μB).
Atoms (fractional coordinates):
Rh (0.3754, 0.3754, 0.3754)  0.47
Rh (0.3754, 0.8738, 0.3754)  0.47
Rh (0.8738, 0.3754, 0.3754)  0.47
Rh (0.3754, 0.3754, 0.8738)  0.47
Cd (0.0000, 0.0000, 0.0000)  -0.01
Br (0.7500, 0.7500, 0.7500)  0.13

The space group is No. 216. The spin magnetization is 2.07 μB/f.u. The formation energy from raw total energies comes out at 0.545 eV per atom.

---

13.
This record from the Alexandria database describes Ti2As2Pd after structural relaxation. The functional is PBE-GGA.

Cell lengths 7.2435, 7.2435, 3.1966 Å; angles 90.00, 90.00, 90.00 degrees
Each line ends with the local moment (μB).
Atoms (fractional coordinates):
Ti (0.6399, 0.1399, 0.0000)  0.14
Ti (0.1399, 0.3601, 0.0000)  0.16
Ti (0.3601, 0.8601, 0.0000)  0.14
Ti (0.8601, 0.6399, 0.0000)  0.16
As (0.6565, 0.8435, 0.5000)  -0.01
As (0.8435, 0.3435, 0.5000)  -0.01
As (0.3435, 0.1565, 0.5000)  -0.01
As (0.1565, 0.6565, 0.5000)  -0.01
Pd (0.0000, 0.0000, 0.0000)  0.01
Pd (0.5000, 0.5000, 0.0000)  0.01

The space group is No. 127. The spin magnetization is 0.35 μB/f.u. As for the energy above the most stable polymorph in this dataset: 236 meV/atom.